# 1
VASP calculation (PBE) on an optimized crystal structure of LuTaW4.

a b c (Å): 5.387 5.387 5.387
angles (deg): 60.00 60.00 60.00
Element x y z (fractional)
1 W 0.625 0.625 0.125
2 W 0.625 0.125 0.625
3 W 0.625 0.625 0.625
4 W 0.125 0.625 0.625
5 Lu 0.250 0.250 0.250
6 Ta 0.000 0.000 0.000

Values from the calculation:
- DFT formation energy: 0.02 eV per atom
- M_tot: 0.0 μB per formula unit
- Crystal system: cubic

# 2
VASP calculation (PBE) on an optimized crystal structure of V2Ni5Pt3.

a b c (Å): 4.946 7.887 7.887
angles (deg): 93.44 71.73 71.73
Element x y z (fractional)
1 Ni 0.485 0.265 0.265
2 Ni 0.750 0.500 0.500
3 Ni 0.880 0.466 0.774
4 Ni 0.120 0.534 0.226
5 Ni 0.380 0.774 0.466
6 Ni 0.015 0.735 0.735
7 Ni 0.515 0.735 0.735
8 Ni 0.250 0.500 0.500
9 Ni 0.985 0.265 0.265
10 Ni 0.620 0.226 0.534
11 Pt 0.394 0.323 0.889
12 Pt 0.250 0.000 0.000
13 Pt 0.894 0.889 0.323
14 Pt 0.750 0.000 0.000
15 Pt 0.606 0.677 0.111
16 Pt 0.106 0.111 0.677
17 V 0.168 0.678 0.986
18 V 0.668 0.986 0.678
19 V 0.832 0.322 0.014
20 V 0.332 0.014 0.322

Values from the calculation:
- DFT formation energy: 0.03 eV per atom
- M_tot: 0.0 μB per formula unit
- Crystal system: orthorhombic

# 3
VASP calculation (PBE) on an optimized crystal structure of YTeCl2.

a b c (Å): 10.733 10.733 10.733
angles (deg): 19.23 19.23 19.23
Element x y z (fractional)
1 Y 0.750 0.750 0.750
2 Te 0.250 0.250 0.250
3 Cl 0.471 0.471 0.471
4 Cl 0.029 0.029 0.029

Values from the calculation:
- Formation energy (no corrections): -1249 meV/atom
- M_tot: 0.0 μB per formula unit
- Crystal system: trigonal
- Energy above the lowest structure with this stoichiometry: 0.358 eV per atom

Number 1: D(E_F) 3.36 states/eV per cell. Number 2: D(E_F) 16.80 states/eV per cell. Number 3: D(E_F) 2.21 states/eV per cell.